## LaInN3 (meta-GGA SCAN)

Data for a crystal of LaInN3 relaxed with PBEsol.

Structure (CIF):
```
data_LaInN3
_cell_length_a 4.1478
_cell_length_b 4.1478
_cell_length_c 4.1478
_cell_angle_alpha 90.00
_cell_angle_beta 90.00
_cell_angle_gamma 90.00
_space_group_name_H-M_alt 'P 1'
_space_group_IT_number 1
loop_
_space_group_symop_operation_xyz
'x,y,z'
loop_
_atom_site_label
_atom_site_type_symbol
_atom_site_fract_x
_atom_site_fract_y
_atom_site_fract_z
_atom_site_occupancy
La1 La 0.0000 0.0000 0.0000 1
In1 In 0.5000 0.5000 0.5000 1
N1 N 0.0000 0.5000 0.5000 1
N2 N 0.5000 0.0000 0.5000 1
N3 N 0.5000 0.5000 0.0000 1
```

Calculated values
E_form (uncorrected) = 309 meV per atom



## TaTePdF2 (meta-GGA SCAN)

Data for a crystal of TaTePdF2 relaxed with PBEsol.

Structure (CIF):
```
data_TaTePdF2
_cell_length_a 4.1679
_cell_length_b 4.1679
_cell_length_c 5.3549
_cell_angle_alpha 90.00
_cell_angle_beta 90.00
_cell_angle_gamma 90.00
_space_group_name_H-M_alt 'P 1'
_space_group_IT_number 1
loop_
_space_group_symop_operation_xyz
'x,y,z'
loop_
_atom_site_label
_atom_site_type_symbol
_atom_site_fract_x
_atom_site_fract_y
_atom_site_fract_z
_atom_site_occupancy
Ta1 Ta 0.0000 0.0000 0.0000 1
Te1 Te 0.5000 0.5000 0.5000 1
Pd1 Pd 0.5000 0.5000 0.0000 1
F1 F 0.0000 0.5000 0.5000 1
F2 F 0.5000 0.0000 0.5000 1
```

Calculated values
E_form (uncorrected) = 76 meV per atom



## KZr2Te (meta-GGA SCAN)

Data for a crystal of KZr2Te relaxed with PBEsol.

Structure (CIF):
```
data_KZr2Te
_cell_length_a 3.6382
_cell_length_b 3.6382
_cell_length_c 8.7506
_cell_angle_alpha 90.00
_cell_angle_beta 90.00
_cell_angle_gamma 90.00
_space_group_name_H-M_alt 'P 1'
_space_group_IT_number 1
loop_
_space_group_symop_operation_xyz
'x,y,z'
loop_
_atom_site_label
_atom_site_type_symbol
_atom_site_fract_x
_atom_site_fract_y
_atom_site_fract_z
_atom_site_occupancy
K1 K 0.0000 0.0000 0.0000 1
Zr1 Zr 0.0000 0.0000 0.4573 1
Zr2 Zr 0.5000 0.5000 0.6472 1
Te1 Te 0.5000 0.5000 0.2920 1
```

Calculated values
E_form (uncorrected) = -254 meV per atom



## YTa2PS (meta-GGA SCAN)

Data for a crystal of YTa2PS relaxed with PBEsol.

Structure (CIF):
```
data_YTa2PS
_cell_length_a 4.5200
_cell_length_b 4.5200
_cell_length_c 5.3056
_cell_angle_alpha 90.00
_cell_angle_beta 90.00
_cell_angle_gamma 90.00
_space_group_name_H-M_alt 'P 1'
_space_group_IT_number 1
loop_
_space_group_symop_operation_xyz
'x,y,z'
loop_
_atom_site_label
_atom_site_type_symbol
_atom_site_fract_x
_atom_site_fract_y
_atom_site_fract_z
_atom_site_occupancy
Y1 Y 0.0000 0.0000 0.0000 1
Ta1 Ta 0.0000 0.5000 0.5000 1
Ta2 Ta 0.5000 0.0000 0.5000 1
P1 P 0.0000 0.0000 0.5000 1
S1 S 0.5000 0.5000 0.0000 1
```

Calculated values
E_form (uncorrected) = 270 meV per atom



## KHgP (meta-GGA SCAN)

Data for a crystal of KHgP relaxed with PBEsol.

Structure (CIF):
```
data_KHgP
_cell_length_a 4.3471
_cell_length_b 4.3471
_cell_length_c 5.0027
_cell_angle_alpha 90.00
_cell_angle_beta 90.00
_cell_angle_gamma 120.00
_space_group_name_H-M_alt 'P 1'
_space_group_IT_number 1
loop_
_space_group_symop_operation_xyz
'x,y,z'
loop_
_atom_site_label
_atom_site_type_symbol
_atom_site_fract_x
_atom_site_fract_y
_atom_site_fract_z
_atom_site_occupancy
K1 K 0.0000 0.0000 0.0000 1
Hg1 Hg 0.6667 0.3333 0.5000 1
P1 P 0.3333 0.6667 0.5000 1
```

Calculated values
Raw total energy = -29.361 eV per atom



## SrHfIn2F (meta-GGA SCAN)

Data for a crystal of SrHfIn2F relaxed with PBEsol.

Structure (CIF):
```
data_SrHfIn2F
_cell_length_a 5.9507
_cell_length_b 5.9507
_cell_length_c 4.1597
_cell_angle_alpha 90.00
_cell_angle_beta 90.00
_cell_angle_gamma 90.00
_space_group_name_H-M_alt 'P 1'
_space_group_IT_number 1
loop_
_space_group_symop_operation_xyz
'x,y,z'
loop_
_atom_site_label
_atom_site_type_symbol
_atom_site_fract_x
_atom_site_fract_y
_atom_site_fract_z
_atom_site_occupancy
Sr1 Sr 0.0000 0.0000 0.0000 1
Hf1 Hf 0.5000 0.5000 0.5000 1
In1 In 0.0000 0.5000 0.0000 1
In2 In 0.5000 0.0000 0.0000 1
F1 F 0.0000 0.0000 0.5000 1
```

Calculated values
E_form (uncorrected) = -107 meV per atom



For the records above, the corresponding calculated density values read 6.9; 8.1; 5.0; 7.9; 5.5; 5.8 Mg/m³.
For the records above, the corresponding total moment values read 0.454; 0.392; 0.249; 0.000; 0.000; 0.136 μB/atom.